Compound: Y2Ga2Cu
Source: the Alexandria database
Functional: PBE
Structure: optimized geometry

Summary:
total magnetic moment	0.000	μB/atom
formation energy from the elements	-2.89	eV per formula unit
E above lowest polymorph	0.000	eV per atom

Unit cell a=5.691 b=5.691 c=10.521 alpha=115.94 beta=115.94 gamma=44.87
Fractional coordinates of all 10 atoms:
Y: 0.018 0.018 0.333
Y: 0.188 0.188 0.108
Y: 0.812 0.812 0.892
Y: 0.982 0.982 0.667
Ga: 0.356 0.356 0.437
Ga: 0.480 0.480 0.116
Ga: 0.520 0.520 0.884
Ga: 0.644 0.644 0.563
Cu: 0.273 0.273 0.654
Cu: 0.727 0.727 0.346